(1)
This record from Alexandria via LeMat-Bulk describes a relaxed Cs2IrCI6 crystal. The functional is GGA-PBE.

Calculated values
ρ in Mg/m³: 5.42
Formation energy without anion corrections in meV per atom: -33
M_tot in μB/atom: 0.1530

abc: 7.6260 7.6260 12.9806
angles: 90.00 90.00 90.00
Space group I4/mmm (No. 139)
Symmetry-distinct sites (fractional):
Cs 0.0000 0.5000 0.2500
Ir 0.0000 0.0000 0.0000
C 0.0000 0.0000 0.5000
I 0.0000 0.0000 0.2081
I 0.2434 0.2434 0.5000

(2)
This record from Alexandria via LeMat-Bulk describes a relaxed Cs2LiCI6 crystal. The functional is GGA-PBE.

Calculated values
ρ in Mg/m³: 4.65
Formation energy without anion corrections in meV per atom: -305
M_tot in μB/atom: 0.0000

abc: 8.0700 8.0700 11.4647
angles: 90.00 90.00 90.00
Space group I4/mmm (No. 139)
Symmetry-distinct sites (fractional):
Cs 0.0000 0.5000 0.2500
Li 0.0000 0.0000 0.0000
C 0.0000 0.0000 0.5000
I 0.0000 0.0000 0.2651
I 0.2355 0.2355 0.5000

Please write out number 1 again, unchanged.
This record from Alexandria via LeMat-Bulk describes a relaxed Cs2IrCI6 crystal. The functional is GGA-PBE.

Calculated values
ρ in Mg/m³: 5.42
Formation energy without anion corrections in meV per atom: -33
M_tot in μB/atom: 0.1530

abc: 7.6260 7.6260 12.9806
angles: 90.00 90.00 90.00
Space group I4/mmm (No. 139)
Symmetry-distinct sites (fractional):
Cs 0.0000 0.5000 0.2500
Ir 0.0000 0.0000 0.0000
C 0.0000 0.0000 0.5000
I 0.0000 0.0000 0.2081
I 0.2434 0.2434 0.5000

> Look up the M_tot of the second one.

0.0000 μB/atom

> What is the formula in the second record?

Cs2LiCI6

> Which of these has the highest formation energy without anion corrections?

Cs2IrCI6